Computed, not measured: crystalline CeSCl at its relaxed geometry at the PBE level of DFT.

Properties
- Magnetization: 1.00 Bohr magnetons per cell
- Fermi-level density of states: 6.59 states/eV/cell
- Uncorrected energy: -5.947 eV per atom
- Raw formation energy: -1.98 eV per atom

Cell lengths 6.313, 4.266, 4.266 Å; angles 120.00, 90.00, 90.00 degrees
Site moments in Bohr magnetons follow the coordinates.
Atoms (fractional coordinates):
1 S 0.546 0.333 0.667  -0.02
2 Ce 0.353 0.667 0.333  0.96
3 Cl 0.101 0.000 0.000  -0.01

***

Computed, not measured: crystalline Mg2GaGe at its relaxed geometry at the PBE level of DFT.

Properties
- Magnetization: 0.00 Bohr magnetons per cell
- Fermi-level density of states: 1.63 states/eV/cell
- Uncorrected energy: -2.806 eV per atom
- Formation energy from the elements: -0.098 eV/atom

Cell lengths 3.440, 3.440, 6.629 Å; angles 90.00, 90.00, 90.00 degrees
Atoms (fractional coordinates):
1 Ge 0.500 0.500 0.000
2 Mg 0.000 0.000 0.750
3 Mg 0.000 0.000 0.250
4 Ga 0.500 0.500 0.500

***

Computed, not measured: crystalline Ca3Yb2Ge3O12 at its relaxed geometry at the PBE level of DFT.

Properties
- Magnetization: 8.24 Bohr magnetons per cell
- Fermi-level density of states: 74.82 states/eV/cell
- Uncorrected energy: -6.585 eV per atom
- Raw formation energy: -2.46 eV per atom

Cell lengths 11.194, 11.194, 11.194 Å; angles 109.47, 109.47, 109.47 degrees
Site moments in Bohr magnetons follow the coordinates.
Atoms (fractional coordinates):
1 Ca 0.250 0.375 0.125  0.00
2 Ca 0.750 0.625 0.875  0.00
3 Ca 0.750 0.125 0.375  0.00
4 Ca 0.125 0.250 0.375  0.00
5 Ca 0.375 0.750 0.125  0.00
6 Ca 0.250 0.875 0.625  0.00
7 Ca 0.875 0.750 0.625  0.00
8 Ca 0.625 0.250 0.875  0.00
9 Ca 0.375 0.125 0.250  0.00
10 Ca 0.625 0.875 0.750  0.00
11 Ca 0.125 0.375 0.750  0.00
12 Ca 0.875 0.625 0.250  0.00
13 Yb 0.000 0.000 0.000  0.67
14 Yb 0.500 0.000 0.500  0.67
15 Yb 0.000 0.500 0.500  0.67
16 Yb 0.500 0.000 0.000  0.67
17 Yb 0.500 0.500 0.000  0.67
18 Yb 0.500 0.500 0.500  0.67
19 Yb 0.000 0.000 0.500  0.67
20 Yb 0.000 0.500 0.000  0.67
21 Ge 0.250 0.625 0.375  0.00
22 Ge 0.750 0.375 0.625  0.00
23 Ge 0.750 0.875 0.125  0.00
24 Ge 0.375 0.250 0.625  0.00
25 Ge 0.625 0.750 0.375  0.00
26 Ge 0.250 0.125 0.875  0.00
27 Ge 0.125 0.750 0.875  0.00
28 Ge 0.875 0.250 0.125  0.00
29 Ge 0.625 0.375 0.250  0.00
30 Ge 0.375 0.625 0.750  0.00
31 Ge 0.875 0.125 0.750  0.00
32 Ge 0.125 0.875 0.250  0.00
33 O 0.479 0.375 0.283  0.05
34 O 0.521 0.625 0.717  0.05
35 O 0.592 0.196 0.217  0.05
36 O 0.908 0.125 0.605  0.05
37 O 0.283 0.479 0.375  0.05
38 O 0.304 0.908 0.283  0.05
39 O 0.408 0.804 0.783  0.05
40 O 0.092 0.875 0.395  0.05
41 O 0.717 0.521 0.625  0.05
42 O 0.696 0.092 0.717  0.05
43 O 0.021 0.304 0.895  0.05
44 O 0.217 0.592 0.196  0.05
45 O 0.125 0.021 0.217  0.05
46 O 0.979 0.696 0.105  0.05
47 O 0.783 0.408 0.804  0.05
48 O 0.875 0.979 0.783  0.05
49 O 0.605 0.908 0.125  0.05
50 O 0.196 0.479 0.605  0.05
51 O 0.395 0.092 0.875  0.05
52 O 0.804 0.521 0.395  0.05
53 O 0.895 0.021 0.304  0.05
54 O 0.375 0.592 0.895  0.05
55 O 0.105 0.979 0.696  0.05
56 O 0.625 0.408 0.105  0.05
57 O 0.375 0.283 0.479  0.05
58 O 0.592 0.895 0.375  0.05
59 O 0.625 0.717 0.521  0.05
60 O 0.408 0.105 0.625  0.05
61 O 0.125 0.605 0.908  0.05
62 O 0.021 0.217 0.125  0.05
63 O 0.875 0.395 0.092  0.05
64 O 0.979 0.783 0.875  0.05
65 O 0.304 0.895 0.021  0.05
66 O 0.908 0.283 0.304  0.05
67 O 0.696 0.105 0.979  0.05
68 O 0.092 0.717 0.696  0.05
69 O 0.196 0.217 0.592  0.05
70 O 0.479 0.605 0.196  0.05
71 O 0.804 0.783 0.408  0.05
72 O 0.521 0.395 0.804  0.05
73 O 0.283 0.304 0.908  0.05
74 O 0.717 0.696 0.092  0.05
75 O 0.217 0.125 0.021  0.05
76 O 0.783 0.875 0.979  0.05
77 O 0.895 0.375 0.592  0.05
78 O 0.105 0.625 0.408  0.05
79 O 0.605 0.196 0.479  0.05
80 O 0.395 0.804 0.521  0.05

***

Computed, not measured: crystalline Pa3Al8Pt3 at its relaxed geometry at the PBE level of DFT.

Properties
- Magnetization: 1.05 Bohr magnetons per cell
- Fermi-level density of states: 12.71 states/eV/cell
- Uncorrected energy: -6.111 eV per atom
- Formation energy from the elements: -0.644 eV/atom

Cell lengths 4.471, 8.193, 8.104 Å; angles 67.19, 73.99, 74.17 degrees
Site moments in Bohr magnetons follow the coordinates.
Atoms (fractional coordinates):
1 Pa 0.280 0.723 0.716  0.16
2 Pa 0.720 0.277 0.284  0.16
3 Pa 0.000 0.000 0.000  0.49
4 Al 0.133 0.157 0.577  0.00
5 Al 0.867 0.843 0.423  0.00
6 Al 0.854 0.436 0.856  0.00
7 Al 0.146 0.564 0.144  0.00
8 Al 0.503 0.663 0.331  0.00
9 Al 0.497 0.337 0.669  0.00
10 Al 0.348 0.012 0.292  0.00
11 Al 0.652 0.988 0.708  0.00
12 Pt 0.000 0.500 0.500  0.02
13 Pt 0.649 0.709 0.992  0.00
14 Pt 0.351 0.291 0.008  0.00

***

Computed, not measured: crystalline Sb2W at its relaxed geometry at the PBE level of DFT.

Properties
- Magnetization: 0.00 Bohr magnetons per cell
- Fermi-level density of states: 4.47 states/eV/cell
- E above lowest polymorph: 142.63 kJ/mol of atoms
- Uncorrected energy: -5.309 eV per atom
- Raw formation energy: 1.76 eV per atom

Cell lengths 5.837, 5.837, 5.837 Å; angles 60.00, 60.00, 60.00 degrees
Atoms (fractional coordinates):
1 Sb 0.625 0.125 0.125
2 Sb 0.125 0.625 0.125
3 Sb 0.125 0.125 0.625
4 Sb 0.125 0.125 0.125
5 W 0.500 0.500 0.500
6 W 0.750 0.750 0.750

***

Computed, not measured: crystalline TeOsSe2 at its relaxed geometry at the PBE level of DFT.

Properties
- Magnetization: 0.00 Bohr magnetons per cell
- Fermi-level density of states: 2.66 states/eV/cell
- Uncorrected energy: -4.401 eV per atom
- Raw formation energy: 0.93 eV per atom

Cell lengths 3.294, 4.790, 4.790 Å; angles 90.00, 90.00, 90.00 degrees
Atoms (fractional coordinates):
1 Os 0.500 0.000 0.500
2 Se 0.000 0.000 0.000
3 Se 0.000 0.500 0.500
4 Te 0.500 0.500 0.000

***

Computed, not measured: crystalline SmDyPtSe at its relaxed geometry at the PBE level of DFT.

Properties
- Magnetization: 0.00 Bohr magnetons per cell
- Fermi-level density of states: 2.56 states/eV/cell
- Uncorrected energy: -6.116 eV per atom
- Raw formation energy: -1.40 eV per atom

Cell lengths 3.973, 3.973, 7.756 Å; angles 90.00, 104.81, 119.99 degrees
Atoms (fractional coordinates):
1 Sm 0.976 0.386 0.376
2 Dy 0.297 0.546 0.860
3 Pt 0.475 0.135 0.625
4 Se 0.130 0.963 0.109

***

Computed, not measured: crystalline La3SnO at its relaxed geometry at the PBE level of DFT.

Properties
- Magnetization: 0.00 Bohr magnetons per cell
- Fermi-level density of states: 8.36 states/eV/cell
- Uncorrected energy: -6.165 eV per atom
- Raw formation energy: -1.42 eV per atom

Cell lengths 6.985, 6.862, 6.871 Å; angles 90.00, 120.79, 90.00 degrees
Atoms (fractional coordinates):
1 Sn 0.728 0.250 0.455
2 Sn 0.272 0.750 0.545
3 O 0.052 0.250 0.106
4 O 0.948 0.750 0.894
5 La 0.755 0.501 0.001
6 La 0.245 0.499 0.999
7 La 0.755 0.999 0.001
8 La 0.245 0.001 0.999
9 La 0.253 0.250 0.503
10 La 0.747 0.750 0.497